1.
A relaxed structure of Li2CoCl. Source: Alexandria, functional PBE-GGA.

Properties
**Formation energy (no corrections)**: -1.14 eV/f.u.
**Density**: 2.764 g/cm3

```
data_Li2CoCl
_cell_length_a 14.836
_cell_length_b 2.962
_cell_length_c 3.023
_cell_angle_alpha 90.00
_cell_angle_beta 101.68
_cell_angle_gamma 90.00
_space_group_name_H-M_alt 'C 1 m 1'
_space_group_IT_number 8
loop_
_space_group_symop_operation_xyz
'x,y,z'
'x,-y,z'
'x+1/2,y+1/2,z'
'x+1/2,-y+1/2,z'
loop_
_atom_site_label
_atom_site_type_symbol
_atom_site_fract_x
_atom_site_fract_y
_atom_site_fract_z
Li1 Li 0.000 0.000 0.000
Li2 Li 0.215 0.000 0.717
Co1 Co 0.376 0.000 0.377
Cl1 Cl 0.133 0.500 0.136
```


2.
A relaxed structure of Tl2RhPb. Source: Alexandria, functional PBE-GGA.

Properties
**Energy of formation from the pure elements**: 352 meV/atom
**Density**: 12.307 g/cm3

```
data_Tl2RhPb
_cell_length_a 7.293
_cell_length_b 7.293
_cell_length_c 7.293
_cell_angle_alpha 90.00
_cell_angle_beta 90.00
_cell_angle_gamma 90.00
_space_group_name_H-M_alt 'F m -3 m'
_space_group_IT_number 225
_space_group_name_Hall '-F 4 2 3'
loop_
_atom_site_label
_atom_site_type_symbol
_atom_site_fract_x
_atom_site_fract_y
_atom_site_fract_z
Tl1 Tl 0.250 0.250 0.250
Rh1 Rh 0.000 0.000 0.000
Pb1 Pb 0.000 0.000 0.500
```


What did the second record say?
A relaxed structure of Tl2RhPb. Source: Alexandria, functional PBE-GGA.

Properties
**Energy of formation from the pure elements**: 352 meV/atom
**Density**: 12.307 g/cm3

```
data_Tl2RhPb
_cell_length_a 7.293
_cell_length_b 7.293
_cell_length_c 7.293
_cell_angle_alpha 90.00
_cell_angle_beta 90.00
_cell_angle_gamma 90.00
_space_group_name_H-M_alt 'F m -3 m'
_space_group_IT_number 225
_space_group_name_Hall '-F 4 2 3'
loop_
_atom_site_label
_atom_site_type_symbol
_atom_site_fract_x
_atom_site_fract_y
_atom_site_fract_z
Tl1 Tl 0.250 0.250 0.250
Rh1 Rh 0.000 0.000 0.000
Pb1 Pb 0.000 0.000 0.500
```